# 1
A plane-wave DFT calculation with PBE-GGA was carried out for TcMo2PRh after structural relaxation.

Lattice parameters (Å, degrees): 4.6974 4.6974 4.6576 90.00 90.00 90.00
Last column: nearest neighbours and their distance in Å.
Sites, in units of the cell vectors:
Rh 0.0000 0.0000 0.0000  2 Tc 2.33, 4 Mo 2.35
Tc 0.0000 0.0000 0.5000  2 Rh 2.33
Mo 0.5000 0.0000 0.0000  2 Rh 2.35
Mo 0.0000 0.5000 0.0000  2 Rh 2.35
P 0.5000 0.5000 0.5000  8 Mo 3.31, 4 Tc 3.32

uncorrected energy	-7.07	eV/atom
formation enthalpy at 0 K	1.893	eV per atom

---

# 2
A plane-wave DFT calculation with PBE-GGA was carried out for TaAgBr2 after structural relaxation.

Lattice parameters (Å, degrees): 9.2389 9.2389 7.1018 49.42 49.42 90.00
Last column: nearest neighbours and their distance in Å.
Sites, in units of the cell vectors:
Br 0.9812 0.6250 0.2500  2 Ta 2.60
Br 0.3750 0.2312 0.7500  2 Ta 2.60
Br 0.8750 0.0188 0.7500  2 Ta 2.60
Br 0.7688 0.1250 0.2500  2 Ta 2.60
Ag 0.5000 0.5000 0.0000  2 Ta 2.79
Ag 0.2500 0.7500 0.5000  2 Ta 2.79
Ta 0.0000 0.0000 0.0000  4 Br 2.60, 2 Ag 2.79
Ta 0.7500 0.2500 0.5000  4 Br 2.60, 2 Ag 2.79

E_form (uncorrected)	1.2	eV per formula unit
uncorrected energy	-4.21	eV/atom

---

# 3
A plane-wave DFT calculation with PBE-GGA was carried out for TlZn2Mo after structural relaxation.

Lattice parameters (Å, degrees): 4.6784 4.6784 4.6784 60.00 60.00 60.00
Last column: nearest neighbours and their distance in Å.
Sites, in units of the cell vectors:
Tl 0.2500 0.2500 0.2500  4 Zn 2.86, 4 Mo 2.86
Zn 0.0000 0.0000 0.0000  4 Zn 2.86, 4 Tl 2.86
Zn 0.7500 0.7500 0.7500  4 Mo 2.86, 4 Zn 2.86
Mo 0.5000 0.5000 0.5000  4 Tl 2.86, 4 Zn 2.86

uncorrected energy	-3.24	eV/atom
formation enthalpy at 0 K	0.693	eV per atom

---

# 4
A plane-wave DFT calculation with PBE-GGA was carried out for Rb8Au4IBr3 after structural relaxation.

Lattice parameters (Å, degrees): 10.0533 10.0993 10.0548 119.85 119.99 90.00
Last column: nearest neighbours and their distance in Å.
Sites, in units of the cell vectors:
Rb 0.2539 0.7498 0.9957  3 Au 3.51-3.59, 2 Br 3.53, 1 I 3.62
Rb 0.7459 0.2509 0.4919  3 Au 3.51-3.60, 2 Br 3.53, 1 I 3.62
Rb 0.2581 0.2502 0.0043  3 Au 3.51-3.59, 2 Br 3.53, 1 I 3.62
Rb 0.2523 0.2558 0.5046  3 Br 3.53-3.54, 3 Au 3.59-3.60
Rb 0.7461 0.2502 0.0043  3 Au 3.51-3.59, 2 Br 3.53, 1 I 3.62
Rb 0.2541 0.7491 0.5081  3 Au 3.51-3.60, 2 Br 3.53, 1 I 3.62
Rb 0.7419 0.7498 0.9957  3 Au 3.51-3.59, 2 Br 3.53, 1 I 3.62
Rb 0.7477 0.7442 0.4954  3 Br 3.53-3.54, 3 Au 3.59-3.60
Br 0.0000 0.5000 0.5000  6 Rb 3.53-3.54
Br 0.5000 0.5000 0.5000  6 Rb 3.53-3.54
Br 0.5000 0.5000 0.0000  6 Rb 3.53
Au 0.0000 0.0000 0.5000  6 Rb 3.59-3.60
Au 0.5000 0.0000 0.5000  6 Rb 3.59-3.60
Au 0.5000 0.0000 0.0000  6 Rb 3.51
Au 0.0000 0.0000 0.0000  6 Rb 3.59-3.60
I 0.0000 0.5000 0.0000  6 Rb 3.62

E_form (uncorrected)	-15.6	eV per formula unit
uncorrected energy	-2.69	eV/atom

---

# 5
A plane-wave DFT calculation with PBE-GGA was carried out for NaPmSn2 after structural relaxation.

Lattice parameters (Å, degrees): 4.5988 4.8162 4.8162 90.00 90.00 90.00
Last column: nearest neighbours and their distance in Å.
Sites, in units of the cell vectors:
Sn 0.0000 0.0000 0.5000  4 Na 3.33, 4 Pm 3.33, 4 Sn 3.41
Sn 0.0000 0.5000 0.0000  4 Na 3.33, 4 Pm 3.33, 4 Sn 3.41
Pm 0.5000 0.0000 0.0000  8 Sn 3.33, 4 Na 3.41
Na 0.5000 0.5000 0.5000  8 Sn 3.33, 4 Pm 3.41

uncorrected energy	-4.01	eV/atom
formation enthalpy at 0 K	-0.488	eV per atom

---

# 6
A plane-wave DFT calculation with PBE-GGA was carried out for SrAlW after structural relaxation.

Lattice parameters (Å, degrees): 4.8232 4.8232 4.8232 60.00 60.00 60.00
Last column: nearest neighbours and their distance in Å.
Sites, in units of the cell vectors:
W 0.5000 0.5000 0.5000  4 Al 2.95
Al 0.7500 0.7500 0.7500  4 W 2.95, 4 Sr 2.95
Sr 0.0000 0.0000 0.0000  4 Al 2.95

uncorrected energy	-4.88	eV/atom
formation enthalpy at 0 K	1.242	eV per atom

---

| no. | total magnetic moment (μB/atom) | density of states at the Fermi level (states/eV/cell) | density (g/cm³) |
| --- | --- | --- | --- |
| 1 | 0.2647 | 6.656 | 6.847 |
| 2 | 0.4684 | 4.308 | 6.267 |
| 3 | 0.5408 | 2.877 | 9.888 |
| 4 | 0.0000 | 0.000 | 4.219 |
| 5 | 0.0000 | 1.167 | 6.311 |
| 6 | 0.8593 | 2.313 | 6.246 |